{"formula": "PuScCdIn", "functional": "PBE", "state": "relaxed", "cell": [[0.0000, 3.6811, 3.6811], [3.6811, 0.0000, 3.6811], [3.6811, 3.6811, 0.0000]], "species": ["Pu", "Sc", "Cd", "In"], "frac_coords": [[0.0000, 0.0000, 0.0000], [0.5000, 0.5000, 0.5000], [0.2500, 0.2500, 0.2500], [0.7500, 0.7500, 0.7500]], "n_ef_per_ev_fu": 8.5, "vol_a3_per_cell": 99.8, "crystal_system": "cubic", "e_form_ev_per_atom": -0.17, "space_group": "F-43m (216)", "e_tot_ev_per_cell": -25.0}



{"formula": "PuSc2Cd2In2", "functional": "PBE", "state": "relaxed", "cell": [[2.4691, 1.4255, 8.1134], [-2.4691, 1.4255, 8.1134], [0.0000, -2.8510, 8.1134]], "species": ["Pu", "Sc", "Sc", "Cd", "Cd", "In", "In"], "frac_coords": [[0.0000, 0.0000, 0.0000], [0.1317, 0.1317, 0.1317], [0.8683, 0.8683, 0.8683], [0.4315, 0.4315, 0.4315], [0.5685, 0.5685, 0.5685], [0.2632, 0.2632, 0.2632], [0.7368, 0.7368, 0.7368]], "n_ef_per_ev_fu": 15.7, "vol_a3_per_cell": 171.3, "crystal_system": "trigonal", "e_form_ev_per_atom": -0.12, "space_group": "R-3m (166)", "e_tot_ev_per_cell": -35.2}



{"formula": "SmPuCdIn", "functional": "PBE", "state": "relaxed", "cell": [[0.0000, 3.8138, 3.8138], [3.8138, 0.0000, 3.8138], [3.8138, 3.8138, 0.0000]], "species": ["Sm", "Pu", "Cd", "In"], "frac_coords": [[0.0000, 0.0000, 0.0000], [0.5000, 0.5000, 0.5000], [0.2500, 0.2500, 0.2500], [0.7500, 0.7500, 0.7500]], "n_ef_per_ev_fu": 8.9, "vol_a3_per_cell": 110.9, "crystal_system": "cubic", "e_form_ev_per_atom": -0.20, "space_group": "F-43m (216)", "e_tot_ev_per_cell": -23.5}



{"formula": "PuCd2InSn", "functional": "PBE", "state": "relaxed", "cell": [[1.5636, -9.6241, 0.0000], [1.5636, 9.6241, 0.0000], [0.0000, 0.0000, 9.2239]], "species": ["Pu", "Pu", "Cd", "Cd", "Cd", "Cd", "In", "In", "Sn", "Sn"], "frac_coords": [[0.0974, 0.9026, 0.7500], [0.9026, 0.0974, 0.2500], [0.3420, 0.6580, 0.5432], [0.3420, 0.6580, 0.9568], [0.6580, 0.3420, 0.0432], [0.6580, 0.3420, 0.4568], [0.5000, 0.5000, 0.0000], [0.5000, 0.5000, 0.5000], [0.2519, 0.7481, 0.2500], [0.7481, 0.2519, 0.7500]], "n_ef_per_ev_fu": 9.9, "vol_a3_per_cell": 277.6, "crystal_system": "orthorhombic", "e_form_ev_per_atom": -0.01, "space_group": "Cmcm (63)", "e_tot_ev_per_cell": -46.0}



{"formula": "Pu2ThCd2In2", "functional": "PBE", "state": "relaxed", "cell": [[5.3222, -2.2844, 0.0000], [5.3222, 2.2844, 0.0000], [-1.7957, 0.0000, 7.5085]], "species": ["Pu", "Pu", "Th", "Cd", "Cd", "In", "In"], "frac_coords": [[0.1209, 0.1209, 0.4282], [0.8791, 0.8791, 0.5718], [0.0000, 0.0000, 0.0000], [0.2856, 0.2856, 0.8448], [0.7144, 0.7144, 0.1552], [0.3949, 0.3949, 0.2635], [0.6051, 0.6051, 0.7365]], "n_ef_per_ev_fu": 15.9, "vol_a3_per_cell": 182.6, "crystal_system": "monoclinic", "e_form_ev_per_atom": -0.09, "space_group": "C2/m (12)", "e_tot_ev_per_cell": -44.0}



{"formula": "PuThCdIn", "functional": "PBE", "state": "relaxed", "cell": [[0.0000, 3.8317, 3.8317], [3.8317, 0.0000, 3.8317], [3.8317, 3.8317, 0.0000]], "species": ["Pu", "Th", "Cd", "In"], "frac_coords": [[0.0000, 0.0000, 0.0000], [0.5000, 0.5000, 0.5000], [0.2500, 0.2500, 0.2500], [0.7500, 0.7500, 0.7500]], "n_ef_per_ev_fu": 10.5, "vol_a3_per_cell": 112.5, "crystal_system": "cubic", "e_form_ev_per_atom": -0.06, "space_group": "F-43m (216)", "e_tot_ev_per_cell": -25.7}